Here is an optimized crystal structure of K2Tb2VO6 from Alexandria. Energies are from GGA+U.

Calculated values
The value obtained for the energy is -6.963 eV per atom. The calculation puts the theoretical density at 4.936 g cm⁻³. The volume comes out at 16.61 Å³ per atom. The total moment is 1.0 μB per formula unit.

Cell lengths 5.7774, 9.9626, 6.5675 Å; angles 90.00, 104.89, 90.00 degrees
Space group C2/m (No. 12)
Symmetry-distinct sites (fractional):
K (0.0000, 0.1613, 0.0000)
Tb (0.0000, 0.3330, 0.5000)
V (0.0000, 0.0000, 0.5000)
O (0.2019, 0.1551, 0.6720)
O (0.2314, 0.0000, 0.3346)